Record 1
# BeInOs2 (GGA-PBEsol, optimized geometry)
data_BeInOs2
_cell_length_a 3.833
_cell_length_b 3.833
_cell_length_c 7.830
_cell_angle_alpha 90.00
_cell_angle_beta 90.00
_cell_angle_gamma 90.00
_symmetry_space_group_name_H-M 'I 4/m m m'
_symmetry_Int_Tables_number 139
_symmetry_space_group_name_Hall '-I 4 2'
loop_
_atom_site_label
_atom_site_fract_x
_atom_site_fract_y
_atom_site_fract_z
Be1 0.000 0.000 0.000
In1 0.000 0.000 0.500
Os1 0.000 0.500 0.250
# E ... -57.9 eV per cell
# Size of the total moment ... 0.0 μB per cell
# Excess energy over the best structure of this formula in the dataset ... 323 meV per atom
# Formation energy from the elements ... 0.612 eV/atom
# N(E_F) ... 1.055 states/eV per atom

***

Record 2
# BeInOs2 (GGA-PBEsol, optimized geometry)
data_BeInOs2
_cell_length_a 2.866
_cell_length_b 4.445
_cell_length_c 5.348
_cell_angle_alpha 90.51
_cell_angle_beta 105.53
_cell_angle_gamma 108.73
_symmetry_space_group_name_H-M 'P 1'
_symmetry_Int_Tables_number 1
_symmetry_space_group_name_Hall 'P 1'
loop_
_atom_site_label
_atom_site_fract_x
_atom_site_fract_y
_atom_site_fract_z
Be1 0.000 0.000 0.000
In1 0.547 0.417 0.683
Os1 0.654 0.936 0.375
Os2 0.823 0.456 0.195
# E ... -29.8 eV per cell
# Size of the total moment ... 0.0 μB per cell
# Excess energy over the best structure of this formula in the dataset ... 114 meV per atom
# Formation energy from the elements ... 0.404 eV/atom
# N(E_F) ... 0.679 states/eV per atom

***

Record 3
# BeInP (GGA-PBEsol, optimized geometry)
data_BeInP
_cell_length_a 3.6312
_cell_length_b 3.6312
_cell_length_c 4.7544
_cell_angle_alpha 90.00
_cell_angle_beta 90.00
_cell_angle_gamma 120.00
_symmetry_space_group_name_H-M 'P -6 m 2'
_symmetry_Int_Tables_number 187
_symmetry_space_group_name_Hall 'P -6 2'
loop_
_atom_site_label
_atom_site_fract_x
_atom_site_fract_y
_atom_site_fract_z
Be1 0.0000 0.0000 0.0000
In1 0.6667 0.3333 0.5000
P1 0.3333 0.6667 0.0000
# E ... -12.9 eV per cell
# Size of the total moment ... 0.0 μB per cell
# Excess energy over the best structure of this formula in the dataset ... 0 meV per atom
# Formation energy from the elements ... -0.041 eV/atom
# N(E_F) ... 0.117 states/eV per atom